GGA-PBE CoAsIr2, optimized geometry; space group = P4/mmm, No. 123; crystal system = tetragonal; V = 56.52 Å³ per cell; energy relative to the elements = 0.200 eV/atom; raw total energy = -7.17 eV per atom
1.0
-1.488 -0.761 -2.340
-2.287 -0.579 1.644
-2.154 6.447 -0.725
As Co Ir
1 1 2
direct
0.500 0.500 0.250
0.500 0.500 0.750
0.000 0.000 0.997
0.000 0.000 0.503